(1)
DFT (PBE) results for HfMg2 after structural relaxation.

VASP energy (eV/cell): -24.76

Lattice parameters (Å, degrees): 5.668 5.668 5.668 60.00 60.00 60.00
Each line ends with the local moment (μB).
Atoms (fractional coordinates):
Mg (0.625, 0.125, 0.625)  0.01
Mg (0.125, 0.625, 0.625)  0.00
Mg (0.625, 0.625, 0.125)  0.01
Mg (0.625, 0.625, 0.625)  0.01
Hf (0.250, 0.250, 0.250)  0.59
Hf (0.000, 0.000, 0.000)  0.59


(2)
DFT (PBE) results for Nd5Tc2O12 after structural relaxation.

VASP energy (eV/cell): -156.62

Lattice parameters (Å, degrees): 7.021 7.021 7.773 106.26 106.26 48.32
Each line ends with the local moment (μB).
Atoms (fractional coordinates):
O (0.594, 0.087, 0.921)  0.05
O (0.904, 0.407, 0.577)  0.00
O (0.087, 0.594, 0.921)  0.05
O (0.999, 0.999, 0.801)  -0.01
O (0.499, 0.499, 0.831)  0.00
O (0.096, 0.593, 0.423)  0.00
O (0.406, 0.913, 0.079)  0.05
O (0.593, 0.096, 0.423)  0.00
O (0.001, 0.001, 0.199)  -0.01
O (0.407, 0.904, 0.577)  0.00
O (0.913, 0.406, 0.079)  0.05
O (0.501, 0.501, 0.169)  0.00
Tc (0.786, 0.214, 0.000)  0.36
Tc (0.214, 0.786, 0.000)  0.36
Nd (0.000, 0.000, 0.500)  0.00
Nd (0.315, 0.315, 0.171)  0.00
Nd (0.685, 0.685, 0.829)  0.00
Nd (0.308, 0.308, 0.645)  0.00
Nd (0.692, 0.692, 0.355)  0.00


(3)
DFT (PBE) results for Ho2Co17 after structural relaxation.

ΔH_f (0 K) (eV/atom): 0.079

Lattice parameters (Å, degrees): 6.227 6.227 6.227 82.87 97.13 97.13
Each line ends with the local moment (μB).
Atoms (fractional coordinates):
Co (0.653, 0.347, 0.849)  1.49
Co (0.903, 0.097, 0.097)  1.66
Co (0.097, 0.903, 0.903)  1.66
Co (0.500, 0.000, 0.000)  1.51
Co (0.290, 0.290, 0.000)  1.56
Co (0.710, 0.710, 0.000)  1.56
Co (0.653, 0.849, 0.347)  1.50
Co (0.347, 0.151, 0.653)  1.50
Co (0.151, 0.347, 0.347)  1.53
Co (0.000, 0.710, 0.290)  1.53
Co (0.000, 0.000, 0.500)  1.61
Co (0.710, 0.000, 0.710)  1.55
Co (0.347, 0.653, 0.151)  1.49
Co (0.849, 0.653, 0.653)  1.53
Co (0.290, 0.000, 0.290)  1.55
Co (0.000, 0.500, 0.000)  1.54
Co (0.000, 0.290, 0.710)  1.53
Ho (0.655, 0.345, 0.345)  -0.38
Ho (0.345, 0.655, 0.655)  -0.38


(4)
DFT (PBE) results for Ho3Te5Pd after structural relaxation.

Offset from the most stable computed form (eV/atom): 0.000

Lattice parameters (Å, degrees): 8.710 8.710 4.021 90.00 90.00 120.00
Atoms (fractional coordinates):
Ho (0.000, 0.278, 0.500)
Ho (0.278, 0.000, 0.500)
Ho (0.722, 0.722, 0.500)
Te (0.300, 0.300, 0.000)
Te (0.333, 0.667, 0.500)
Te (0.667, 0.333, 0.500)
Te (0.000, 0.700, 0.000)
Te (0.700, 0.000, 0.000)
Pd (0.000, 0.000, 0.000)


(5)
DFT (PBE) results for Nd2Sm2C2I2Br2Cl after structural relaxation.

Offset from the most stable computed form (eV/atom): 0.027

Lattice parameters (Å, degrees): 10.206 10.206 8.234 103.26 103.26 22.08
Atoms (fractional coordinates):
I (0.834, 0.834, 0.693)
I (0.166, 0.166, 0.307)
Sm (0.999, 0.999, 0.296)
Sm (0.001, 0.001, 0.704)
Nd (0.652, 0.652, 0.600)
Nd (0.348, 0.348, 0.400)
C (0.464, 0.464, 0.477)
C (0.536, 0.536, 0.523)
Br (0.154, 0.154, 0.867)
Br (0.846, 0.846, 0.133)
Cl (0.500, 0.500, 0.000)


(6)
DFT (PBE) results for Cu2Ag3 after structural relaxation.

Offset from the most stable computed form (eV/atom): 0.049
ΔH_f (0 K) (eV/atom): 0.081

Lattice parameters (Å, degrees): 7.744 7.744 7.744 158.68 152.55 35.02
Atoms (fractional coordinates):
Ag (0.888, 0.888, 0.000)
Ag (0.112, 0.112, 0.000)
Ag (0.500, 0.500, 0.000)
Cu (0.708, 0.708, 0.000)
Cu (0.292, 0.292, 0.000)


(7)
DFT (PBE) results for Sr2TmP2 after structural relaxation.

VASP energy (eV/cell): -47.48

Lattice parameters (Å, degrees): 8.689 8.689 8.010 90.00 90.00 151.01
Each line ends with the local moment (μB).
Atoms (fractional coordinates):
Sr (0.295, 0.705, 0.614)  0.05
Sr (0.554, 0.446, 0.771)  0.07
Sr (0.446, 0.554, 0.271)  0.07
Sr (0.705, 0.295, 0.114)  0.05
Tm (0.907, 0.093, 0.909)  0.29
Tm (0.093, 0.907, 0.409)  0.29
P (0.321, 0.679, 0.994)  -0.02
P (0.679, 0.321, 0.494)  -0.02
P (0.051, 0.949, 0.077)  -0.02
P (0.949, 0.051, 0.577)  -0.02


(8)
DFT (PBE) results for SmPPdO after structural relaxation.

Offset from the most stable computed form (eV/atom): 0.795

Lattice parameters (Å, degrees): 5.760 5.760 4.556 90.00 90.00 90.00
Atoms (fractional coordinates):
Sm (0.500, 0.000, 0.500)
Sm (0.000, 0.500, 0.500)
P (0.500, 0.500, 0.497)
P (0.000, 0.000, 0.503)
Pd (0.000, 0.000, 0.003)
Pd (0.500, 0.500, 0.997)
O (0.000, 0.500, 0.000)
O (0.500, 0.000, 0.000)


(9)
DFT (PBE) results for LuCuReSi after structural relaxation.

Offset from the most stable computed form (eV/atom): 0.410

Lattice parameters (Å, degrees): 4.531 4.531 4.531 60.00 60.00 60.00
Atoms (fractional coordinates):
Re (0.500, 0.500, 0.500)
Lu (0.250, 0.250, 0.250)
Cu (0.750, 0.750, 0.750)
Si (0.000, 0.000, 0.000)


(10)
DFT (PBE) results for Ho2Lu3Al3 after structural relaxation.

Offset from the most stable computed form (eV/atom): 0.097

Lattice parameters (Å, degrees): 6.774 6.774 5.066 90.00 90.00 120.00
Atoms (fractional coordinates):
Lu (0.507, 0.493, 0.000)
Lu (0.986, 0.493, 0.000)
Lu (0.507, 0.014, 0.000)
Al (0.378, 0.189, 0.500)
Al (0.811, 0.189, 0.500)
Al (0.811, 0.622, 0.500)
Ho (0.333, 0.667, 0.500)
Ho (0.000, 0.000, 0.000)


(11)
DFT (PBE) results for GdErAg2Sb4 after structural relaxation.

VASP energy (eV/cell): -36.27

Lattice parameters (Å, degrees): 4.334 4.334 10.429 90.00 90.00 90.00
Atoms (fractional coordinates):
Gd (0.500, 0.500, 0.236)
Ag (0.500, 0.000, 0.501)
Ag (0.000, 0.500, 0.501)
Sb (0.000, 0.000, 0.316)
Sb (0.500, 0.000, 0.998)
Sb (0.000, 0.500, 0.998)
Sb (0.500, 0.500, 0.687)
Er (0.000, 0.000, 0.764)


(12)
DFT (PBE) results for AcHgAsO after structural relaxation.

Offset from the most stable computed form (eV/atom): 0.000

Lattice parameters (Å, degrees): 4.351 4.351 9.408 90.00 90.00 90.00
Atoms (fractional coordinates):
As (0.250, 0.250, 0.692)
As (0.750, 0.750, 0.308)
O (0.750, 0.250, 0.000)
O (0.250, 0.750, 0.000)
Hg (0.750, 0.250, 0.500)
Hg (0.250, 0.750, 0.500)
Ac (0.250, 0.250, 0.130)
Ac (0.750, 0.750, 0.870)


(13)
DFT (PBE) results for CsPt2Pb2 after structural relaxation.

VASP energy (eV/cell): -21.36

Lattice parameters (Å, degrees): 7.698 7.698 7.698 144.04 144.04 51.76
Atoms (fractional coordinates):
Pb (0.351, 0.351, 0.000)
Pb (0.649, 0.649, 0.000)
Cs (0.000, 0.000, 0.000)
Pt (0.250, 0.750, 0.500)
Pt (0.750, 0.250, 0.500)


(14)
DFT (PBE) results for TlRe2I6O2 after structural relaxation.

VASP energy (eV/cell): -51.14

Lattice parameters (Å, degrees): 7.611 7.611 11.725 106.04 106.04 29.24
Atoms (fractional coordinates):
I (0.871, 0.871, 0.262)
I (0.157, 0.157, 0.053)
I (0.843, 0.843, 0.947)
I (0.138, 0.138, 0.353)
I (0.862, 0.862, 0.647)
I (0.129, 0.129, 0.738)
Re (0.997, 0.997, 0.871)
Re (0.003, 0.003, 0.129)
O (0.503, 0.503, 0.130)
O (0.497, 0.497, 0.870)
Tl (0.500, 0.500, 0.500)


(15)
DFT (PBE) results for SrNbTl after structural relaxation.

Offset from the most stable computed form (eV/atom): 0.495

Lattice parameters (Å, degrees): 5.262 5.262 5.262 60.00 60.00 60.00
Atoms (fractional coordinates):
Nb (0.250, 0.250, 0.250)
Sr (0.000, 0.000, 0.000)
Tl (0.750, 0.750, 0.750)


(16)
DFT (PBE) results for ZrSnTe after structural relaxation.

VASP energy (eV/cell): -68.82

Lattice parameters (Å, degrees): 7.655 3.795 9.816 90.00 90.00 90.00
Atoms (fractional coordinates):
Sn (0.882, 0.250, 0.415)
Sn (0.618, 0.750, 0.915)
Sn (0.118, 0.750, 0.585)
Sn (0.382, 0.250, 0.085)
Te (0.865, 0.250, 0.100)
Te (0.365, 0.250, 0.400)
Te (0.135, 0.750, 0.900)
Te (0.635, 0.750, 0.600)
Zr (0.876, 0.250, 0.756)
Zr (0.376, 0.250, 0.744)
Zr (0.624, 0.750, 0.256)
Zr (0.124, 0.750, 0.244)


(17)
DFT (PBE) results for Cs2ZrAg2Te2S2 after structural relaxation.

Offset from the most stable computed form (eV/atom): 0.009

Lattice parameters (Å, degrees): 6.443 6.449 8.168 90.00 113.08 90.00
Atoms (fractional coordinates):
Cs (0.500, 0.259, 0.500)
Cs (0.000, 0.737, 0.500)
Ag (0.000, 0.499, 0.000)
Ag (0.500, 0.026, 0.000)
S (0.124, 0.225, 0.812)
S (0.876, 0.225, 0.188)
Zr (0.000, 0.011, 0.000)
Te (0.356, 0.759, 0.215)
Te (0.644, 0.759, 0.785)


(18)
DFT (PBE) results for PmGdCd after structural relaxation.

Offset from the most stable computed form (eV/atom): 0.000
ΔH_f (0 K) (eV/atom): 0.436

Lattice parameters (Å, degrees): 5.077 5.077 5.077 60.00 60.00 60.00
Atoms (fractional coordinates):
Cd (0.250, 0.250, 0.250)
Pm (0.750, 0.750, 0.750)
Gd (0.000, 0.000, 0.000)


(19)
DFT (PBE) results for PmIn5Ir after structural relaxation.

VASP energy (eV/cell): -30.04

Lattice parameters (Å, degrees): 4.692 4.692 7.576 90.00 90.00 90.00
Atoms (fractional coordinates):
In (0.000, 0.500, 0.697)
In (0.500, 0.000, 0.303)
In (0.500, 0.000, 0.697)
In (0.500, 0.500, 0.000)
In (0.000, 0.500, 0.303)
Pm (0.000, 0.000, 0.000)
Ir (0.000, 0.000, 0.500)


(20)
DFT (PBE) results for TbZr2 after structural relaxation.

ΔH_f (0 K) (eV/atom): 3.274

Lattice parameters (Å, degrees): 8.320 8.320 8.320 60.00 60.00 60.00
Atoms (fractional coordinates):
Zr (0.375, 0.375, 0.875)
Zr (0.875, 0.375, 0.375)
Zr (0.375, 0.875, 0.375)
Zr (0.375, 0.375, 0.375)
Tb (0.500, 0.500, 0.500)
Tb (0.250, 0.250, 0.250)


Number 1: theoretical density 5.9 g/cm3. Number 2: theoretical density 6.8 g/cm3. Number 3: theoretical density 9.4 g/cm3. Number 4: theoretical density 7.8 g/cm3. Number 5: theoretical density 5.6 g/cm3. Number 6: theoretical density 9.6 g/cm3. Number 7: theoretical density 4.6 g/cm3. Number 8: theoretical density 6.7 g/cm3. Number 9: theoretical density 11.4 g/cm3. Number 10: theoretical density 7.7 g/cm3. Number 11: theoretical density 8.7 g/cm3. Number 12: theoretical density 9.7 g/cm3. Number 13: theoretical density 10.0 g/cm3. Number 14: theoretical density 7.2 g/cm3. Number 15: theoretical density 6.2 g/cm3. Number 16: theoretical density 7.9 g/cm3. Number 17: theoretical density 4.7 g/cm3. Number 18: theoretical density 7.4 g/cm3. Number 19: theoretical density 9.1 g/cm3. Number 20: theoretical density 2.8 g/cm3.